No. 1
The following is a PBE-GGA calculation of a relaxed structure of Sr2Zn3AgAu12, from Alexandria. Values from VASP.

Structure (Quantum ESPRESSO input):
```
&SYSTEM
  ibrav = 0, nat = 18, ntyp = 4
/
ATOMIC_SPECIES
Au 196.97 Au.upf
Sr 87.62 Sr.upf
Ag 107.87 Ag.upf
Zn 65.41 Zn.upf
CELL_PARAMETERS angstrom
8.350 -0.276 -0.196
3.883 7.397 -0.196
3.883 2.260 7.046
ATOMIC_POSITIONS crystal
Au 0.964 0.356 0.356
Au 0.036 0.644 0.644
Au 0.368 0.865 0.865
Au 0.632 0.135 0.135
Au 0.356 0.964 0.356
Au 0.644 0.036 0.644
Au 0.644 0.644 0.036
Au 0.865 0.368 0.865
Au 0.135 0.632 0.135
Au 0.135 0.135 0.632
Au 0.356 0.356 0.964
Au 0.865 0.865 0.368
Sr 0.393 0.393 0.393
Sr 0.607 0.607 0.607
Ag 0.000 0.000 0.000
Zn 0.000 0.500 0.000
Zn 0.000 0.000 0.500
Zn 0.500 0.000 0.000
```

Values from the calculation:
For the formation energy, the calculation gives -85.5 meV per atom. As for the density: 10.48 g/cm3.

=====

No. 2
The following is a PBE-GGA calculation of a relaxed structure of TeWCl2, from Alexandria. Values from VASP.

Structure (Quantum ESPRESSO input):
```
&SYSTEM
  ibrav = 0, nat = 4, ntyp = 3
/
ATOMIC_SPECIES
Cl 35.45 Cl.upf
Te 127.60 Te.upf
W 183.84 W.upf
CELL_PARAMETERS angstrom
1.806 0.000 11.164
-0.903 1.564 11.164
-0.903 -1.564 11.164
ATOMIC_POSITIONS crystal
Cl 0.115 0.115 0.115
Cl 0.885 0.885 0.885
Te 0.000 0.000 0.000
W 0.500 0.500 0.500
```

Values from the calculation:
As for the formation energy without anion corrections: -0.017 eV/atom. As for the density: 6.71 g/cm3. Its relative energy among the computed polymorphs is 264 meV/atom.